Density functional theory data (PBE-GGA) for crystalline MgPt4Rh at its relaxed geometry.

The structure in POSCAR format:
```
MgPt4Rh
1.0
3.666 1.593 -1.714
-0.418 8.465 -4.045
-0.458 -2.782 7.462
Pt Mg Rh
8 2 2
Cartesian
1.998 6.946 -3.047
2.476 3.098 -0.103
0.154 -0.763 2.381
0.792 0.331 4.750
2.635 8.040 -0.678
3.420 4.561 -2.240
-0.631 2.716 3.943
0.313 4.179 1.806
1.106 5.400 -0.883
1.683 1.877 2.587
1.079 0.712 0.212
1.710 6.564 1.491
```

Calculated values
SG: Cmcm
Energy of formation (eV per atom): -0.2648
Final energy (eV per atom): -5.783
Energy relative to the lowest polymorph listed for this composition (meV per atom): 0
Crystal system: orthorhombic

=====

Density functional theory data (PBE-GGA) for crystalline MgPtRh3 at its relaxed geometry.

The structure in POSCAR format:
```
MgPtRh3
1.0
-3.656 2.999 -0.851
0.239 -1.038 -4.685
-3.108 -3.607 0.641
Pt Rh Mg
1 3 1
Cartesian
0.000 0.000 0.000
0.119 -0.519 -2.343
-1.554 -1.804 0.320
-1.828 1.500 -0.425
-3.263 -0.823 -2.448
```

Calculated values
SG: Pm-3m
Energy of formation (eV per atom): 1.0709
Final energy (eV per atom): -4.867
Energy relative to the lowest polymorph listed for this composition (meV per atom): 0
Crystal system: cubic

=====

Density functional theory data (PBE-GGA) for crystalline Mg4Pt3Rh at its relaxed geometry.

The structure in POSCAR format:
```
Mg4Pt3Rh
1.0
3.196 0.000 0.000
0.000 3.196 0.000
0.000 0.000 12.270
Pt Mg Rh
3 4 1
Cartesian
1.598 1.598 9.220
1.598 1.598 6.135
1.598 1.598 3.050
0.000 0.000 7.678
0.000 0.000 4.592
0.000 0.000 1.479
0.000 0.000 10.791
1.598 1.598 0.000
```

Calculated values
SG: P4/mmm
Energy of formation (eV per atom): -0.7759
Final energy (eV per atom): -4.757
Crystal system: tetragonal

=====

Density functional theory data (PBE-GGA) for crystalline Mg5PtRh at its relaxed geometry.

The structure in POSCAR format:
```
Mg5PtRh
1.0
6.761 -0.091 -0.188
2.059 6.440 -0.188
2.940 2.117 8.084
Mg Pt Rh
10 2 2
Cartesian
7.933 3.881 7.580
4.727 5.233 3.538
4.854 7.208 5.875
4.503 3.637 6.830
7.257 4.829 0.879
8.352 6.408 4.920
3.407 2.058 2.788
7.032 3.233 4.170
3.827 4.585 0.129
6.905 1.258 1.833
5.391 3.361 1.833
6.368 5.105 5.875
1.470 1.058 4.042
0.000 0.000 0.000
```

Calculated values
SG: C2/c
Energy of formation (eV per atom): -0.1819
Final energy (eV per atom): -3.234
Crystal system: monoclinic